No. 1
An optimized crystal structure of Pd3Pb6Au. Source: Alexandria via LeMat-Bulk, functional PBE-GGA.

Calculated values
As for the volume: 25.38 Å³/atom. The value obtained for the total energy is -4.263 eV per atom. Its mass density is 11.512 Mg/m³. As for the total magnetization: 0.00 μB per formula unit. As for the energy above the most stable polymorph in this dataset: 0.000 eV per formula unit.

Unit cell a=10.402 b=4.472 c=11.682 alpha=90.00 beta=110.93 gamma=90.00
Space group P2_1/m (No. 11)
One atom of each set of equivalent atoms:
Pd 0.009 0.250 0.187 [2 per cell]
Pd 0.404 0.250 0.002 [2 per cell]
Pd 0.488 0.750 0.418 [2 per cell]
Pb 0.030 0.250 0.667 [2 per cell]
Pb 0.118 0.250 0.985 [2 per cell]
Pb 0.284 0.750 0.843 [2 per cell]
Pb 0.303 0.250 0.311 [2 per cell]
Pb 0.329 0.750 0.581 [2 per cell]
Pb 0.446 0.750 0.164 [2 per cell]
Au 0.140 0.250 0.470 [2 per cell]



No. 2
An optimized crystal structure of RbHgBi2Pb. Source: Alexandria via LeMat-Bulk, functional PBE-GGA.

Calculated values
As for the volume: 37.57 Å³/atom. The value obtained for the total energy is -2.690 eV per atom. Its mass density is 8.055 Mg/m³. As for the total magnetization: 0.00 μB per formula unit.

Unit cell a=5.128 b=5.179 c=14.144 alpha=90.00 beta=90.00 gamma=90.00
Space group Imm2 (No. 44)
One atom of each set of equivalent atoms:
Rb 0.000 0.000 0.000 [2 per cell]
Hg 0.000 0.000 0.392 [2 per cell]
Bi 0.000 0.000 0.612 [2 per cell]
Bi 0.000 0.500 0.253 [2 per cell]
Pb 0.000 0.500 0.753 [2 per cell]



No. 3
An optimized crystal structure of LiTbCeS4. Source: Alexandria via LeMat-Bulk, functional PBE-GGA.

Calculated values
The formation energy without anion corrections comes out at -1779 meV/atom. As for the volume: 25.96 Å³/atom. The value obtained for the total energy is -5.920 eV per atom. Its mass density is 3.968 Mg/m³. As for the total magnetization: 0.00 μB per formula unit.

Unit cell a=7.893 b=8.163 c=11.283 alpha=90.00 beta=90.00 gamma=90.00
Space group Imma (No. 74)
One atom of each set of equivalent atoms:
Li 0.000 0.250 0.134 [4 per cell]
Tb 0.250 0.250 0.750 [4 per cell]
Ce 0.000 0.000 0.500 [4 per cell]
S 0.000 0.015 0.741 [8 per cell]
S 0.233 0.250 0.505 [8 per cell]



No. 4
An optimized crystal structure of BaIr2Cl. Source: Alexandria via LeMat-Bulk, functional PBE-GGA.

Calculated values
The formation energy without anion corrections comes out at 1213 meV/atom. As for the volume: 21.45 Å³/atom. The value obtained for the total energy is -4.160 eV per atom. Its mass density is 10.783 Mg/m³. As for the total magnetization: 0.02 μB per formula unit. As for the energy above the most stable polymorph in this dataset: 6.155 eV per formula unit.

Unit cell a=7.002 b=7.002 c=7.002 alpha=90.00 beta=90.00 gamma=90.00
Space group Fm-3m (No. 225)
One atom of each set of equivalent atoms:
Ba 0.000 0.000 0.000 [4 per cell]
Ir 0.250 0.250 0.250 [8 per cell]
Cl 0.000 0.000 0.500 [4 per cell]



No. 5
An optimized crystal structure of Al5Si. Source: Alexandria via LeMat-Bulk, functional PBE-GGA.

Calculated values
The formation energy without anion corrections comes out at 366 meV/atom. As for the volume: 18.35 Å³/atom. The value obtained for the total energy is -3.656 eV per atom. Its mass density is 2.459 Mg/m³. As for the total magnetization: 0.00 μB per formula unit. As for the energy above the most stable polymorph in this dataset: 1.859 eV per formula unit.

Unit cell a=5.2544 b=5.2544 c=4.6040 alpha=90.00 beta=90.00 gamma=120.00
Space group P6/mmm (No. 191)
One atom of each set of equivalent atoms:
Al 0.0000 0.5000 0.0000 [3 per cell]
Al 0.3333 0.6667 0.5000 [2 per cell]
Si 0.0000 0.0000 0.5000 [1 per cell]



No. 6
An optimized crystal structure of SbMoW4. Source: Alexandria via LeMat-Bulk, functional PBE-GGA.

Calculated values
The formation energy without anion corrections comes out at 596 meV/atom. As for the volume: 17.67 Å³/atom. The value obtained for the total energy is -10.532 eV per atom. Its mass density is 14.924 Mg/m³. As for the total magnetization: 0.00 μB per formula unit.

Unit cell a=7.514 b=7.514 c=7.514 alpha=90.00 beta=90.00 gamma=90.00
Space group F-43m (No. 216)
One atom of each set of equivalent atoms:
Sb 0.000 0.000 0.000 [4 per cell]
Mo 0.250 0.250 0.250 [4 per cell]
W 0.125 0.125 0.625 [16 per cell]